(1)
This record from the Alexandria database describes an optimized crystal structure of Tc2PtPb. The functional is PBE-GGA.

Output
**DOS(E_F)**: 10.92 states/eV per cell
**Energy above the most stable polymorph in this dataset**: 18.4 kJ/mol of atoms

```
data_Tc2PtPb
_space_group_name_H-M_alt 'I 4/m m m'
_space_group_IT_number 139
_space_group_name_Hall '-I 4 2'
_cell_length_a 4.1032
_cell_length_b 4.1032
_cell_length_c 7.9686
_cell_angle_alpha 90.00
_cell_angle_beta 90.00
_cell_angle_gamma 90.00
loop_
_atom_site_label
_atom_site_type_symbol
_atom_site_fract_x
_atom_site_fract_y
_atom_site_fract_z
Tc1 Tc 0.0000 0.5000 0.2500
Pt1 Pt 0.0000 0.0000 0.0000
Pb1 Pb 0.0000 0.0000 0.5000
```



(2)
This record from the Alexandria database describes an optimized crystal structure of TcPtPb3. The functional is PBE-GGA.

Output
**DOS(E_F)**: 3.80 states/eV per cell
**Energy above the most stable polymorph in this dataset**: 0.0 kJ/mol of atoms

```
data_TcPtPb3
_space_group_name_H-M_alt 'P m -3 m'
_space_group_IT_number 221
_space_group_name_Hall '-P 4 2 3'
_cell_length_a 5.2260
_cell_length_b 5.2260
_cell_length_c 5.2260
_cell_angle_alpha 90.00
_cell_angle_beta 90.00
_cell_angle_gamma 90.00
loop_
_atom_site_label
_atom_site_type_symbol
_atom_site_fract_x
_atom_site_fract_y
_atom_site_fract_z
Tc1 Tc 0.0000 0.0000 0.0000
Pt1 Pt 0.5000 0.5000 0.5000
Pb1 Pb 0.0000 0.0000 0.5000
```



(3)
This record from the Alexandria database describes an optimized crystal structure of TcPtPb2. The functional is PBE-GGA.

Output
**DOS(E_F)**: 4.43 states/eV per cell
**Energy above the most stable polymorph in this dataset**: 23.9 kJ/mol of atoms

```
data_TcPtPb2
_space_group_name_H-M_alt 'I -4 m 2'
_space_group_IT_number 119
_space_group_name_Hall 'I -4 -2'
_cell_length_a 4.0302
_cell_length_b 4.0302
_cell_length_c 10.0870
_cell_angle_alpha 90.00
_cell_angle_beta 90.00
_cell_angle_gamma 90.00
loop_
_atom_site_label
_atom_site_type_symbol
_atom_site_fract_x
_atom_site_fract_y
_atom_site_fract_z
Tc1 Tc 0.0000 0.0000 0.0000
Pt1 Pt 0.0000 0.5000 0.2500
Pb1 Pb 0.0000 0.0000 0.5000
Pb2 Pb 0.0000 0.5000 0.7500
```



(4)
This record from the Alexandria database describes an optimized crystal structure of TcPtPb2. The functional is PBE-GGA.

Output
**DOS(E_F)**: 12.27 states/eV per cell
**Energy above the most stable polymorph in this dataset**: 26.1 kJ/mol of atoms

```
data_TcPtPb2
_space_group_name_H-M_alt 'F m -3 m'
_space_group_IT_number 225
_space_group_name_Hall '-F 4 2 3'
_cell_length_a 6.8559
_cell_length_b 6.8559
_cell_length_c 6.8559
_cell_angle_alpha 90.00
_cell_angle_beta 90.00
_cell_angle_gamma 90.00
loop_
_atom_site_label
_atom_site_type_symbol
_atom_site_fract_x
_atom_site_fract_y
_atom_site_fract_z
Tc1 Tc 0.0000 0.0000 0.0000
Pt1 Pt 0.0000 0.0000 0.5000
Pb1 Pb 0.2500 0.2500 0.2500
```



(5)
This record from the Alexandria database describes an optimized crystal structure of Tc2PtPb. The functional is PBE-GGA.

Output
**DOS(E_F)**: 3.95 states/eV per cell
**Energy above the most stable polymorph in this dataset**: 22.3 kJ/mol of atoms

```
data_Tc2PtPb
_space_group_name_H-M_alt 'P m m m'
_space_group_IT_number 47
_cell_length_a 3.9205
_cell_length_b 4.1273
_cell_length_c 4.2446
_cell_angle_alpha 90.00
_cell_angle_beta 90.00
_cell_angle_gamma 90.00
loop_
_space_group_symop_operation_xyz
'x,y,z'
'-x,-y,-z'
'-x,-y,z'
'x,y,-z'
'x,-y,-z'
'-x,y,z'
'-x,y,-z'
'x,-y,z'
loop_
_atom_site_label
_atom_site_type_symbol
_atom_site_fract_x
_atom_site_fract_y
_atom_site_fract_z
Tc1 Tc 0.0000 0.0000 0.0000
Tc2 Tc 0.5000 0.5000 0.0000
Pt1 Pt 0.0000 0.5000 0.5000
Pb1 Pb 0.5000 0.0000 0.5000
```



(6)
This record from the Alexandria database describes an optimized crystal structure of TcPtPb2. The functional is PBE-GGA.

Output
**DOS(E_F)**: 14.64 states/eV per cell
**Energy above the most stable polymorph in this dataset**: 40.9 kJ/mol of atoms

```
data_TcPtPb2
_space_group_name_H-M_alt 'F -4 3 m'
_space_group_IT_number 216
_space_group_name_Hall 'F -4 2 3'
_cell_length_a 6.9616
_cell_length_b 6.9616
_cell_length_c 6.9616
_cell_angle_alpha 90.00
_cell_angle_beta 90.00
_cell_angle_gamma 90.00
loop_
_atom_site_label
_atom_site_type_symbol
_atom_site_fract_x
_atom_site_fract_y
_atom_site_fract_z
Tc1 Tc 0.0000 0.0000 0.0000
Pt1 Pt 0.2500 0.2500 0.7500
Pb1 Pb 0.0000 0.0000 0.5000
Pb2 Pb 0.2500 0.2500 0.2500
```



> What is the DOS(E_F) in the second record?

3.80 states/eV per cell



> Look up the DOS(E_F) of the third one.

4.43 states/eV per cell



> Which value of DOS(E_F) does entry 6 give?

14.64 states/eV per cell



> Among the records above, which one has the highest energy above the most stable polymorph in this dataset?

number 6